# GGA-PBE ScSi2Tc, relaxed
data_ScSi2Tc
_symmetry_space_group_name_H-M 'P 1'
_symmetry_Int_Tables_number 1
_cell_length_a 2.9490
_cell_length_b 2.9490
_cell_length_c 7.9637
_cell_angle_alpha 90.00
_cell_angle_beta 90.00
_cell_angle_gamma 113.49
loop_
_symmetry_equiv_pos_as_xyz
'x,y,z'
loop_
_atom_site_label
_atom_site_fract_x
_atom_site_fract_y
_atom_site_fract_z
_atom_site_occupancy
Sc1 0.5000 0.5000 0.7500 1
Si1 0.0000 0.0000 0.0204 1
Si2 0.0000 0.0000 0.4796 1
Tc1 0.5000 0.5000 0.2500 1
# **Formation energy without anion corrections**: -0.21 eV/atom
# **Magnetic moment**: 0.00 μB per formula unit
# **DFT total energy**: -7.094 eV/atom
# **Crystal system**: orthorhombic
# **Calculated volume**: 63.5 Å³/f.u.
# **ρ**: 5.21 g/cm3

=====

# GGA-PBE DyScS3, relaxed
data_DyScS3
_symmetry_space_group_name_H-M 'P 1'
_symmetry_Int_Tables_number 1
_cell_length_a 6.3835
_cell_length_b 7.0204
_cell_length_c 9.5363
_cell_angle_alpha 90.00
_cell_angle_beta 90.00
_cell_angle_gamma 90.00
loop_
_symmetry_equiv_pos_as_xyz
'x,y,z'
loop_
_atom_site_label
_atom_site_fract_x
_atom_site_fract_y
_atom_site_fract_z
_atom_site_occupancy
Sc1 0.0000 0.5000 0.7410 1
Sc2 0.0000 0.5000 0.2410 1
Sc3 0.5000 0.0000 0.7410 1
Sc4 0.5000 0.0000 0.2410 1
S1 0.1448 0.5475 0.9910 1
S2 0.8552 0.4525 0.4910 1
S3 0.3552 0.0475 0.9910 1
S4 0.6448 0.9525 0.4910 1
S5 0.1759 0.8157 0.6698 1
S6 0.8241 0.1843 0.1698 1
S7 0.3241 0.3157 0.6698 1
S8 0.6759 0.6843 0.1698 1
S9 0.6759 0.6843 0.8122 1
S10 0.3241 0.3157 0.3122 1
S11 0.8241 0.1843 0.8122 1
S12 0.1759 0.8157 0.3122 1
Dy1 0.4583 0.6017 0.4910 1
Dy2 0.5417 0.3983 0.9910 1
Dy3 0.0417 0.1017 0.4910 1
Dy4 0.9583 0.8983 0.9910 1
# **Formation energy without anion corrections**: -1.99 eV/atom
# **Magnetic moment**: 0.00 μB per formula unit
# **DFT total energy**: -6.654 eV/atom
# **Crystal system**: orthorhombic
# **Calculated volume**: 106.8 Å³/f.u.
# **ρ**: 4.72 g/cm3

=====

# GGA-PBE MnReAs, relaxed
data_MnReAs
_symmetry_space_group_name_H-M 'P 1'
_symmetry_Int_Tables_number 1
_cell_length_a 5.1850
_cell_length_b 5.1848
_cell_length_c 2.9063
_cell_angle_alpha 73.73
_cell_angle_beta 73.72
_cell_angle_gamma 32.55
loop_
_symmetry_equiv_pos_as_xyz
'x,y,z'
loop_
_atom_site_label
_atom_site_fract_x
_atom_site_fract_y
_atom_site_fract_z
_atom_site_occupancy
As1 0.9908 0.9908 0.0092 1
Mn1 0.3418 0.3418 0.6582 1
Re1 0.6674 0.6674 0.3326 1
# **Magnetic moment**: 0.00 μB per formula unit
# **DFT total energy**: -8.573 eV/atom
# **Crystal system**: tetragonal
# **Calculated volume**: 40.2 Å³/f.u.
# **ρ**: 13.05 g/cm3

=====

# GGA-PBE KRhSe2, relaxed
data_KRhSe2
_symmetry_space_group_name_H-M 'P 1'
_symmetry_Int_Tables_number 1
_cell_length_a 7.6138
_cell_length_b 7.6138
_cell_length_c 6.5626
_cell_angle_alpha 54.54
_cell_angle_beta 54.54
_cell_angle_gamma 90.00
loop_
_symmetry_equiv_pos_as_xyz
'x,y,z'
loop_
_atom_site_label
_atom_site_fract_x
_atom_site_fract_y
_atom_site_fract_z
_atom_site_occupancy
K1 0.5000 0.5000 0.0000 1
K2 0.2500 0.7500 0.5000 1
Rh1 0.0000 0.0000 0.0000 1
Rh2 0.7500 0.2500 0.5000 1
Se1 0.7309 0.1250 0.2500 1
Se2 0.0191 0.6250 0.2500 1
Se3 0.3750 0.2691 0.7500 1
Se4 0.8750 0.9809 0.7500 1
# **Formation energy without anion corrections**: -0.58 eV/atom
# **Magnetic moment**: 0.00 μB per formula unit
# **DFT total energy**: -4.433 eV/atom
# **Crystal system**: tetragonal
# **Calculated volume**: 108.8 Å³/f.u.
# **ρ**: 4.58 g/cm3

=====

# GGA-PBE Tb12PmSm6, relaxed
data_Tb12PmSm6
_symmetry_space_group_name_H-M 'P 1'
_symmetry_Int_Tables_number 1
_cell_length_a 8.7541
_cell_length_b 8.7541
_cell_length_c 8.7541
_cell_angle_alpha 98.70
_cell_angle_beta 98.70
_cell_angle_gamma 98.70
loop_
_symmetry_equiv_pos_as_xyz
'x,y,z'
loop_
_atom_site_label
_atom_site_fract_x
_atom_site_fract_y
_atom_site_fract_z
_atom_site_occupancy
Tb1 0.7583 0.2417 0.5000 1
Tb2 0.3563 0.0829 0.3563 1
Tb3 0.3563 0.3563 0.0829 1
Tb4 0.9171 0.6437 0.6437 1
Tb5 0.6437 0.6437 0.9171 1
Tb6 0.6437 0.9171 0.6437 1
Tb7 0.5000 0.7583 0.2417 1
Tb8 0.2417 0.5000 0.7583 1
Tb9 0.2417 0.7583 0.5000 1
Tb10 0.5000 0.2417 0.7583 1
Tb11 0.7583 0.5000 0.2417 1
Tb12 0.0829 0.3563 0.3563 1
Pm1 0.0000 0.0000 0.0000 1
Sm1 0.9023 0.3437 0.9023 1
Sm2 0.9023 0.9023 0.3437 1
Sm3 0.3437 0.9023 0.9023 1
Sm4 0.0977 0.0977 0.6563 1
Sm5 0.0977 0.6563 0.0977 1
Sm6 0.6563 0.0977 0.0977 1
# **Magnetic moment**: 0.00 μB per formula unit
# **DFT total energy**: -4.456 eV/atom
# **Crystal system**: trigonal
# **Calculated volume**: 645.0 Å³/f.u.
# **ρ**: 7.61 g/cm3

=====

# GGA-PBE Sc2MoIr2, relaxed
data_Sc2MoIr2
_symmetry_space_group_name_H-M 'P 1'
_symmetry_Int_Tables_number 1
_cell_length_a 6.5891
_cell_length_b 6.5891
_cell_length_c 4.2583
_cell_angle_alpha 90.00
_cell_angle_beta 90.00
_cell_angle_gamma 90.00
loop_
_symmetry_equiv_pos_as_xyz
'x,y,z'
loop_
_atom_site_label
_atom_site_fract_x
_atom_site_fract_y
_atom_site_fract_z
_atom_site_occupancy
Sc1 0.1757 0.6757 0.5000 1
Sc2 0.6757 0.8243 0.5000 1
Sc3 0.8243 0.3243 0.5000 1
Sc4 0.3243 0.1757 0.5000 1
Mo1 0.0000 0.0000 0.0000 1
Mo2 0.5000 0.5000 0.0000 1
Ir1 0.3611 0.8611 0.0000 1
Ir2 0.8611 0.6389 0.0000 1
Ir3 0.6389 0.1389 0.0000 1
Ir4 0.1389 0.3611 0.0000 1
# **Magnetic moment**: 0.00 μB per formula unit
# **DFT total energy**: -8.749 eV/atom
# **Crystal system**: tetragonal
# **Calculated volume**: 92.4 Å³/f.u.
# **ρ**: 10.24 g/cm3

=====

# GGA-PBE NdErPb, relaxed
data_NdErPb
_symmetry_space_group_name_H-M 'P 1'
_symmetry_Int_Tables_number 1
_cell_length_a 6.6157
_cell_length_b 3.5144
_cell_length_c 8.6008
_cell_angle_alpha 78.21
_cell_angle_beta 90.00
_cell_angle_gamma 90.00
loop_
_symmetry_equiv_pos_as_xyz
'x,y,z'
loop_
_atom_site_label
_atom_site_fract_x
_atom_site_fract_y
_atom_site_fract_z
_atom_site_occupancy
Nd1 0.7500 0.6384 0.7231 1
Nd2 0.2500 0.3616 0.2769 1
Pb1 0.5000 0.0000 0.0000 1
Pb2 0.0000 0.0000 0.0000 1
Er1 0.7500 0.8380 0.3240 1
Er2 0.2500 0.1620 0.6760 1
# **Magnetic moment**: 0.00 μB per formula unit
# **DFT total energy**: -4.374 eV/atom
# **Crystal system**: orthorhombic
# **Calculated volume**: 97.9 Å³/f.u.
# **ρ**: 8.80 g/cm3

=====

# GGA-PBE Li2Bi2Au, relaxed
data_Li2Bi2Au
_symmetry_space_group_name_H-M 'P 1'
_symmetry_Int_Tables_number 1
_cell_length_a 5.9191
_cell_length_b 5.9191
_cell_length_c 7.0290
_cell_angle_alpha 90.00
_cell_angle_beta 90.00
_cell_angle_gamma 100.12
loop_
_symmetry_equiv_pos_as_xyz
'x,y,z'
loop_
_atom_site_label
_atom_site_fract_x
_atom_site_fract_y
_atom_site_fract_z
_atom_site_occupancy
Li1 0.1505 0.7182 0.3381 1
Li2 0.8495 0.2818 0.3381 1
Li3 0.7182 0.1505 0.8381 1
Li4 0.2818 0.8495 0.8381 1
Bi1 0.2495 0.3350 0.6609 1
Bi2 0.7505 0.6650 0.6609 1
Bi3 0.6650 0.7505 0.1609 1
Bi4 0.3350 0.2495 0.1609 1
Au1 0.0000 0.5000 0.0019 1
Au2 0.5000 0.0000 0.5019 1
# **Magnetic moment**: 0.00 μB per formula unit
# **DFT total energy**: -3.255 eV/atom
# **Crystal system**: orthorhombic
# **Calculated volume**: 121.2 Å³/f.u.
# **ρ**: 8.61 g/cm3

=====

# GGA-PBE Be2TlP, relaxed
data_Be2TlP
_symmetry_space_group_name_H-M 'P 1'
_symmetry_Int_Tables_number 1
_cell_length_a 3.0869
_cell_length_b 3.0869
_cell_length_c 7.8176
_cell_angle_alpha 90.00
_cell_angle_beta 90.00
_cell_angle_gamma 105.14
loop_
_symmetry_equiv_pos_as_xyz
'x,y,z'
loop_
_atom_site_label
_atom_site_fract_x
_atom_site_fract_y
_atom_site_fract_z
_atom_site_occupancy
P1 0.0000 0.0000 0.3661 1
Tl1 0.5000 0.5000 0.8103 1
Be1 0.0000 0.0000 0.0891 1
Be2 0.5000 0.5000 0.2345 1
# **Magnetic moment**: 0.00 μB per formula unit
# **DFT total energy**: -3.394 eV/atom
# **Crystal system**: orthorhombic
# **Calculated volume**: 71.9 Å³/f.u.
# **ρ**: 5.85 g/cm3

=====

# GGA-PBE KVSe2, relaxed
data_KVSe2
_symmetry_space_group_name_H-M 'P 1'
_symmetry_Int_Tables_number 1
_cell_length_a 4.9404
_cell_length_b 4.9404
_cell_length_c 4.9404
_cell_angle_alpha 60.00
_cell_angle_beta 60.00
_cell_angle_gamma 60.00
loop_
_symmetry_equiv_pos_as_xyz
'x,y,z'
loop_
_atom_site_label
_atom_site_fract_x
_atom_site_fract_y
_atom_site_fract_z
_atom_site_occupancy
K1 0.0000 0.0000 0.0000 1
Se1 0.2500 0.2500 0.2500 1
Se2 0.7500 0.7500 0.7500 1
V1 0.5000 0.5000 0.5000 1
# **Formation energy without anion corrections**: -0.29 eV/atom
# **Magnetic moment**: 2.06 μB per formula unit
# **DFT total energy**: -4.582 eV/atom
# **Crystal system**: cubic
# **Calculated volume**: 85.3 Å³/f.u.
# **ρ**: 4.83 g/cm3

=====

# GGA-PBE Pm5Pr8Tm, relaxed
data_Pm5Pr8Tm
_symmetry_space_group_name_H-M 'P 1'
_symmetry_Int_Tables_number 1
_cell_length_a 8.6842
_cell_length_b 8.6842
_cell_length_c 8.6842
_cell_angle_alpha 110.55
_cell_angle_beta 107.34
_cell_angle_gamma 110.55
loop_
_symmetry_equiv_pos_as_xyz
'x,y,z'
loop_
_atom_site_label
_atom_site_fract_x
_atom_site_fract_y
_atom_site_fract_z
_atom_site_occupancy
Pm1 0.0281 0.3120 0.1297 1
Pm2 0.8703 0.8984 0.1823 1
Pm3 0.8177 0.6880 0.7161 1
Pm4 0.5000 0.0000 0.5000 1
Pm5 0.2839 0.1016 0.9719 1
Pr1 0.1689 0.7315 0.0692 1
Pr2 0.9308 0.0996 0.6623 1
Pr3 0.7370 0.2610 0.3402 1
Pr4 0.6598 0.3968 0.9208 1
Pr5 0.5240 0.6032 0.2630 1
Pr6 0.5627 0.9004 0.8311 1
Pr7 0.3377 0.2685 0.4373 1
Pr8 0.0792 0.7390 0.4760 1
Tm1 0.2500 0.5000 0.7500 1
# **Magnetic moment**: 0.00 μB per formula unit
# **DFT total energy**: -4.507 eV/atom
# **Crystal system**: tetragonal
# **Calculated volume**: 503.6 Å³/f.u.
# **ρ**: 6.66 g/cm3

=====

# GGA-PBE NbCuPtRh, relaxed
data_NbCuPtRh
_symmetry_space_group_name_H-M 'P 1'
_symmetry_Int_Tables_number 1
_cell_length_a 4.4112
_cell_length_b 4.4112
_cell_length_c 4.4112
_cell_angle_alpha 60.00
_cell_angle_beta 60.00
_cell_angle_gamma 60.00
loop_
_symmetry_equiv_pos_as_xyz
'x,y,z'
loop_
_atom_site_label
_atom_site_fract_x
_atom_site_fract_y
_atom_site_fract_z
_atom_site_occupancy
Nb1 0.2500 0.2500 0.2500 1
Rh1 0.5000 0.5000 0.5000 1
Cu1 0.7500 0.7500 0.7500 1
Pt1 0.0000 0.0000 0.0000 1
# **Magnetic moment**: 0.00 μB per formula unit
# **DFT total energy**: -7.240 eV/atom
# **Crystal system**: cubic
# **Calculated volume**: 60.7 Å³/f.u.
# **ρ**: 12.43 g/cm3